Density functional theory data (GGA-PBE) for Mg2Zr after structural relaxation.

a b c (Å): 8.869 8.869 3.010
angles (deg): 90.00 90.00 120.00
Element x y z (fractional)
1 Mg 0.689 0.689 0.500
2 Mg 0.361 0.361 0.000
3 Mg 0.000 0.311 0.500
4 Mg 0.000 0.639 0.000
5 Mg 0.311 0.000 0.500
6 Mg 0.639 0.000 0.000
7 Zr 0.667 0.333 0.500
8 Zr 0.333 0.667 0.500
9 Zr 0.000 0.000 0.000

Summary:
V   22.777 Å³/atom
Formation enthalpy at 0 K   22 kJ/mol of atoms